# RbTcWS2, relaxed, DFT PBE-GGA
# - ΔE_f (raw) (eV per formula unit) = 17.169
data_RbTcWS2
_symmetry_space_group_name_H-M 'P 4/m m m'
_symmetry_Int_Tables_number 123
_symmetry_space_group_name_Hall '-P 4 2'
_cell_length_a 5.130
_cell_length_b 5.130
_cell_length_c 5.004
_cell_angle_alpha 90.00
_cell_angle_beta 90.00
_cell_angle_gamma 90.00
loop_
_atom_site_label
_atom_site_type_symbol
_atom_site_fract_x
_atom_site_fract_y
_atom_site_fract_z
_atom_site_occupancy
Rb1 Rb 0.000 0.000 0.000 1
Tc1 Tc 0.500 0.500 0.500 1
W1 W 0.000 0.000 0.500 1
S1 S 0.000 0.500 0.000 1


# Tl2NiHAu, relaxed, DFT PBE-GGA
# - VASP energy (eV per formula unit) = -15.15
data_Tl2NiHAu
_symmetry_space_group_name_H-M 'P 4/m m m'
_symmetry_Int_Tables_number 123
_symmetry_space_group_name_Hall '-P 4 2'
_cell_length_a 5.193
_cell_length_b 5.193
_cell_length_c 3.501
_cell_angle_alpha 90.00
_cell_angle_beta 90.00
_cell_angle_gamma 90.00
loop_
_atom_site_label
_atom_site_type_symbol
_atom_site_fract_x
_atom_site_fract_y
_atom_site_fract_z
_atom_site_occupancy
Tl1 Tl 0.000 0.500 0.000 1
Ni1 Ni 0.000 0.000 0.500 1
H1 H 0.500 0.500 0.000 1
Au1 Au 0.500 0.500 0.500 1


# Li2VCl, relaxed, DFT PBE-GGA
# - E above lowest polymorph (meV per atom) = 318
# - ΔE_f (raw) (eV per formula unit) = 1.395
data_Li2VCl
_symmetry_space_group_name_H-M 'F m -3 m'
_symmetry_Int_Tables_number 225
_symmetry_space_group_name_Hall '-F 4 2 3'
_cell_length_a 6.854
_cell_length_b 6.854
_cell_length_c 6.854
_cell_angle_alpha 90.00
_cell_angle_beta 90.00
_cell_angle_gamma 90.00
loop_
_atom_site_label
_atom_site_type_symbol
_atom_site_fract_x
_atom_site_fract_y
_atom_site_fract_z
_atom_site_occupancy
Li1 Li 0.250 0.250 0.250 1
V1 V 0.000 0.000 0.000 1
Cl1 Cl 0.000 0.000 0.500 1


# Y2GeO5, relaxed, DFT PBE-GGA
# - E above lowest polymorph (meV per atom) = 11
# - ΔE_f (raw) (eV per formula unit) = -23.199
data_Y2GeO5
_symmetry_space_group_name_H-M 'P n m a'
_symmetry_Int_Tables_number 62
_cell_length_a 10.385
_cell_length_b 3.735
_cell_length_c 11.131
_cell_angle_alpha 90.00
_cell_angle_beta 90.00
_cell_angle_gamma 90.00
loop_
_symmetry_equiv_pos_as_xyz
'x,y,z'
'-x,-y,-z'
'-x+1/2,-y,z+1/2'
'x+1/2,y,-z+1/2'
'x+1/2,-y+1/2,-z+1/2'
'-x+1/2,y+1/2,z+1/2'
'-x,y+1/2,-z'
'x,-y+1/2,z'
loop_
_atom_site_label
_atom_site_type_symbol
_atom_site_fract_x
_atom_site_fract_y
_atom_site_fract_z
_atom_site_occupancy
Y1 Y 0.107 0.250 0.220 1
Y2 Y 0.136 0.250 0.555 1
Ge1 Ge 0.177 0.250 0.877 1
O1 O 0.009 0.750 0.605 1
O2 O 0.012 0.250 0.843 1
O3 O 0.223 0.250 0.035 1
O4 O 0.233 0.750 0.879 1
O5 O 0.239 0.750 0.230 1


Number 1: volume 26.34 A^3/atom. Number 2: volume 18.88 A^3/atom. Number 3: volume 20.12 A^3/atom. Number 4: volume 13.49 A^3/atom.